(1)
Density functional theory data (GGA-PBE) for Pu3Mn2Ge3 after structural relaxation.

Cell lengths 4.1758, 5.9731, 13.9440 Å; angles 90.00, 90.00, 110.46 degrees
Closest atoms and distances in Å follow each position.
Fractional positions:
Pu 0.9306 0.8613 0.3801  6 Ge 3.07-3.11, 4 Mn 3.18-3.33
Pu 0.0694 0.1387 0.8801  6 Ge 3.07-3.11, 4 Mn 3.18-3.33
Pu 0.9306 0.8613 0.1199  6 Ge 3.07-3.11, 4 Mn 3.18-3.33
Pu 0.0694 0.1387 0.6199  6 Ge 3.07-3.11, 4 Mn 3.18-3.33
Pu 0.6176 0.2353 0.2500  4 Ge 2.92-3.02
Pu 0.3824 0.7647 0.7500  4 Ge 2.92-3.02
Mn 0.7768 0.5536 0.9230  4 Ge 2.47-2.61
Mn 0.2232 0.4464 0.4230  4 Ge 2.47-2.61
Mn 0.7768 0.5536 0.5770  4 Ge 2.47-2.61
Mn 0.2232 0.4464 0.0770  4 Ge 2.47-2.61
Ge 0.6116 0.2232 0.4595  3 Mn 2.47-2.49, 1 Ge 2.74
Ge 0.3884 0.7768 0.9595  3 Mn 2.47-2.49, 1 Ge 2.74
Ge 0.6116 0.2232 0.0405  3 Mn 2.47-2.49, 1 Ge 2.74
Ge 0.3884 0.7768 0.5405  3 Mn 2.47-2.49, 1 Ge 2.74
Ge 0.3122 0.6244 0.2500  2 Mn 2.61
Ge 0.6878 0.3756 0.7500  2 Mn 2.61

Values from the calculation:
DFT total energy ... -154.2 eV for the cell shown
Symmetry ... Cmcm (63)

(2)
Density functional theory data (GGA-PBE) for PuMnGe2 after structural relaxation.

Cell lengths 4.7598, 4.7598, 4.7598 Å; angles 60.00, 60.00, 60.00 degrees
Closest atoms and distances in Å follow each position.
Fractional positions:
Ge 0.2500 0.2500 0.2500  4 Mn 2.91, 4 Pu 2.91
Ge 0.7500 0.7500 0.7500  4 Pu 2.91, 4 Mn 2.91
Mn 0.5000 0.5000 0.5000  8 Ge 2.91
Pu 0.0000 0.0000 0.0000  8 Ge 2.91

Values from the calculation:
ΔE to the lowest computed polymorph ... 272 meV/atom
DFT total energy ... -33.0 eV for the cell shown
Symmetry ... Fm-3m (225)

(3)
Density functional theory data (GGA-PBE) for Pu5Mn2Ge4 after structural relaxation.

Cell lengths 3.3792, 7.5835, 10.2265 Å; angles 111.81, 99.51, 90.00 degrees
Closest atoms and distances in Å follow each position.
Fractional positions:
Pu 0.1528 0.9377 0.3057  4 Ge 2.94-3.02, 2 Mn 3.11, 1 Pu 3.27
Pu 0.8472 0.0623 0.6943  4 Ge 2.94-3.02, 2 Mn 3.11, 1 Pu 3.27
Pu 0.1534 0.3691 0.3067  4 Ge 2.95-3.02, 2 Mn 3.12, 1 Pu 3.27
Pu 0.5000 0.0000 0.0000  4 Ge 2.98
Pu 0.8466 0.6309 0.6933  4 Ge 2.95-3.02, 2 Mn 3.12, 1 Pu 3.27
Mn 0.5734 0.5740 0.1468  5 Ge 2.56-2.57, 1 Mn 2.74
Mn 0.4266 0.4260 0.8532  5 Ge 2.56-2.57, 1 Mn 2.74
Ge 0.7108 0.7116 0.4216  1 Mn 2.57
Ge 0.9997 0.6767 0.9995  4 Mn 2.56, 1 Ge 2.68
Ge 0.2892 0.2884 0.5784  1 Mn 2.57
Ge 0.0003 0.3233 0.0005  4 Mn 2.56, 1 Ge 2.68

Values from the calculation:
DFT total energy ... -110.2 eV for the cell shown
Symmetry ... C2/m (12)

(4)
Density functional theory data (GGA-PBE) for PuMnGe2 after structural relaxation.

Cell lengths 4.2381, 6.7650, 10.1875 Å; angles 90.00, 90.00, 90.00 degrees
Closest atoms and distances in Å follow each position.
Fractional positions:
Pu 0.7500 0.7007 0.3689  9 Ge 3.02-3.32, 3 Mn 3.04
Pu 0.7500 0.2007 0.1311  9 Ge 3.02-3.32, 3 Mn 3.04
Pu 0.2500 0.2993 0.6311  9 Ge 3.02-3.32, 3 Mn 3.04
Pu 0.2500 0.7993 0.8689  9 Ge 3.02-3.32, 3 Mn 3.04
Mn 0.2500 0.0199 0.3972  5 Ge 2.41-2.60
Mn 0.7500 0.9801 0.6028  5 Ge 2.41-2.60
Mn 0.2500 0.5199 0.1028  5 Ge 2.41-2.60
Mn 0.7500 0.4801 0.8972  5 Ge 2.41-2.60
Ge 0.7500 0.7173 0.0732  3 Mn 2.41-2.52, 2 Ge 2.63
Ge 0.2500 0.2827 0.9268  3 Mn 2.41-2.52, 2 Ge 2.63
Ge 0.7500 0.2173 0.4268  3 Mn 2.41-2.52, 2 Ge 2.63
Ge 0.2500 0.7827 0.5732  3 Mn 2.41-2.52, 2 Ge 2.63
Ge 0.7500 0.1113 0.8250  2 Mn 2.43-2.60, 2 Ge 2.63
Ge 0.2500 0.3887 0.3250  2 Mn 2.43-2.60, 2 Ge 2.63
Ge 0.7500 0.6113 0.6750  2 Mn 2.43-2.60, 2 Ge 2.63
Ge 0.2500 0.8887 0.1750  2 Mn 2.43-2.60, 2 Ge 2.63

Values from the calculation:
ΔE to the lowest computed polymorph ... 0 meV/atom
DFT total energy ... -136.3 eV for the cell shown
Symmetry ... Pnma (62)

(5)
Density functional theory data (GGA-PBE) for PuMnGe2 after structural relaxation.

Cell lengths 4.1369, 4.1369, 5.7136 Å; angles 68.78, 68.78, 60.00 degrees
Closest atoms and distances in Å follow each position.
Fractional positions:
Ge 0.2766 0.2766 0.1702  3 Mn 2.55
Ge 0.7234 0.7234 0.8298  3 Mn 2.55
Mn 0.0000 0.0000 0.0000  6 Ge 2.55
Pu 0.5000 0.5000 0.5000  6 Ge 2.94

Values from the calculation:
ΔE to the lowest computed polymorph ... 108 meV/atom
DFT total energy ... -33.6 eV for the cell shown
Symmetry ... R-3m (166)

(6)
Density functional theory data (GGA-PBE) for Pu2Mn2Ge after structural relaxation.

Cell lengths 6.8117, 6.8117, 7.8090 Å; angles 90.00, 90.00, 90.00 degrees
Closest atoms and distances in Å follow each position.
Fractional positions:
Pu 0.6623 0.8378 0.5000  6 Mn 2.69-2.87
Pu 0.3377 0.1622 0.5000  6 Mn 2.69-2.87
Pu 0.8377 0.3378 0.0000  6 Mn 2.69-2.87
Pu 0.1623 0.6622 0.0000  6 Mn 2.69-2.87
Pu 0.8378 0.3377 0.5000  6 Mn 2.69-2.87
Pu 0.1622 0.6623 0.5000  6 Mn 2.69-2.87
Pu 0.3378 0.1623 0.0000  6 Mn 2.69-2.87
Pu 0.6622 0.8377 0.0000  6 Mn 2.69-2.87
Mn 0.3539 0.8539 0.2500  2 Ge 2.61, 6 Pu 2.69-2.87, 1 Mn 2.82
Mn 0.6461 0.1461 0.2500  2 Ge 2.61, 6 Pu 2.69-2.87, 1 Mn 2.82
Mn 0.1461 0.3539 0.7500  2 Ge 2.61, 6 Pu 2.69-2.87, 1 Mn 2.82
Mn 0.8539 0.6461 0.7500  2 Ge 2.61, 6 Pu 2.69-2.87, 1 Mn 2.82
Mn 0.8539 0.6461 0.2500  2 Ge 2.61, 6 Pu 2.69-2.87, 1 Mn 2.82
Mn 0.1461 0.3539 0.2500  2 Ge 2.61, 6 Pu 2.69-2.87, 1 Mn 2.82
Mn 0.3539 0.8539 0.7500  2 Ge 2.61, 6 Pu 2.69-2.87, 1 Mn 2.82
Mn 0.6461 0.1461 0.7500  2 Ge 2.61, 6 Pu 2.69-2.87, 1 Mn 2.82
Ge 0.5000 0.5000 0.2502  4 Mn 2.61
Ge 0.0000 0.0000 0.7502  4 Mn 2.61
Ge 0.5000 0.5000 0.7498  4 Mn 2.61
Ge 0.0000 0.0000 0.2498  4 Mn 2.61

Values from the calculation:
DFT total energy ... -209.7 eV for the cell shown
Symmetry ... P4/mbm (127)

(7)
Density functional theory data (GGA-PBE) for PuMn4Ge after structural relaxation.

Cell lengths 4.8846, 4.8846, 4.8846 Å; angles 60.00, 60.00, 60.00 degrees
Closest atoms and distances in Å follow each position.
Fractional positions:
Ge 0.0000 0.0000 0.0000  12 Mn 2.86, 4 Pu 2.99
Mn 0.6274 0.6274 0.1177  6 Mn 2.39-2.49
Mn 0.6274 0.1177 0.6274  6 Mn 2.39-2.49
Mn 0.6274 0.6274 0.6274  6 Mn 2.39-2.49
Mn 0.1177 0.6274 0.6274  6 Mn 2.39-2.49
Pu 0.2500 0.2500 0.2500  12 Mn 2.87, 4 Ge 2.99

Values from the calculation:
DFT total energy ... -54.7 eV for the cell shown
Symmetry ... F-43m (216)

(8)
Density functional theory data (GGA-PBE) for Pu2MnGe3 after structural relaxation.

Cell lengths 5.5290, 6.5635, 6.5635 Å; angles 86.19, 90.00, 90.00 degrees
Closest atoms and distances in Å follow each position.
Fractional positions:
Pu 0.7613 0.1246 0.4546  3 Pu 2.96-3.25, 5 Ge 2.96-3.11, 3 Mn 3.02-3.31
Pu 0.2613 0.5454 0.8754  3 Pu 2.96-3.25, 5 Ge 2.96-3.11, 3 Mn 3.02-3.31
Pu 0.2613 0.8754 0.5454  3 Pu 2.96-3.25, 5 Ge 2.96-3.11, 3 Mn 3.02-3.31
Pu 0.7613 0.4546 0.1246  3 Pu 2.96-3.25, 5 Ge 2.96-3.11, 3 Mn 3.02-3.31
Mn 0.7618 0.8197 0.8197  5 Ge 2.37-2.58
Mn 0.2618 0.1803 0.1803  5 Ge 2.37-2.58
Ge 0.5112 0.1478 0.8520  2 Mn 2.58, 3 Ge 2.65-2.76
Ge 0.0112 0.1480 0.8522  2 Mn 2.58, 3 Ge 2.65-2.76
Ge 0.2610 0.4272 0.4272  1 Mn 2.37
Ge 0.7610 0.5728 0.5728  1 Mn 2.37
Ge 0.0112 0.8522 0.1480  2 Mn 2.58, 3 Ge 2.65-2.76
Ge 0.5112 0.8520 0.1478  2 Mn 2.58, 3 Ge 2.65-2.76

Values from the calculation:
ΔE to the lowest computed polymorph ... 91 meV/atom
DFT total energy ... -105.9 eV for the cell shown
Symmetry ... Cmcm (63)

Ordered magnetization results: 22.78 8.90 24.00 2.99 7.89 5.53 5.66 8.51; unit μB/f.u..
Ordered DFT formation energy results: -0.24 -0.06 -0.15 -0.33 -0.23 -0.16 0.16 -0.21; unit eV per atom.
Ordered DOS(E_F) results: 55.8 11.7 31.7 21.7 10.8 37.2 8.5 28.1; unit states/eV/cell.